4
Lattice="3.7896 0.0000 0.0000 0.0000 3.7896 0.0000 0.0000 0.0000 7.6437" Properties=species:S:1:pos:R:3 comment="SrGdAg2, relaxed, DFT PBE" dos_ef_per_ev_atom=0.970 formation_enthalpy_0k_mev_per_atom=-281 magnetic_moment_mub_per_cell=7.25 space_group="P4/mmm (123)" pbc="T T T"
Ag 0.0000 0.0000 6.0060
Ag 0.0000 0.0000 1.6376
Sr 1.8948 1.8948 3.8218
Gd 1.8948 1.8948 0.0000

***

4
Lattice="4.9520 0.0000 0.0000 0.0000 3.9245 0.0000 0.0000 0.0000 3.9245" Properties=species:S:1:pos:R:3 comment="CdW2Br, relaxed, DFT PBE" dos_ef_per_ev_atom=0.693 polymorph_energy_kj_per_mol_atoms=98.46 magnetic_moment_mub_per_cell=0.00 space_group="P4/mmm (123)" pbc="T T T"
W 0.0000 0.0000 0.0000
W 0.0000 1.9623 1.9623
Br 2.4760 1.9623 0.0000
Cd 2.4760 0.0000 1.9623

***

5
Lattice="-3.6532 1.8757 -1.8460 -0.2994 -3.4339 -2.8967 -2.6147 -2.2276 2.9109" Properties=species:S:1:pos:R:3 comment="Ta3CuCl, relaxed, DFT PBE" dos_ef_per_ev_atom=1.397 polymorph_energy_kj_per_mol_atoms=0.00 magnetic_moment_mub_per_cell=0.00 space_group="Pm-3m (221)" pbc="T T T"
Ta -0.1497 -1.7170 -1.4484
Ta -1.3073 -1.1138 1.4555
Ta -1.8266 0.9379 -0.9230
Cl 0.0000 0.0000 0.0000
Cu -3.2836 -1.8929 -0.9159

***

5
Lattice="4.0841 0.0000 0.0000 0.0000 4.2754 0.0000 0.0000 0.0000 4.0841" Properties=species:S:1:pos:R:3 comment="MgZrMn2B, relaxed, DFT PBE" dos_ef_per_ev_atom=0.400 formation_enthalpy_0k_mev_per_atom=155 magnetic_moment_mub_per_cell=3.02 space_group="P4/mmm (123)" pbc="T T T"
Mn 0.0000 0.0000 2.0421
Mn 2.0421 0.0000 0.0000
Mg 0.0000 2.1377 0.0000
B 0.0000 0.0000 0.0000
Zr 2.0421 2.1377 2.0421